VASP calculation (GGA-PBE) on a relaxed structure of MgMn3P.

a b c (Å): 4.6378 4.6378 4.6378
angles (deg): 90.00 90.00 90.00
Last column: nearest neighbours and their distance in Å.
Space group Pm-3m (No. 221)
Inequivalent atoms, fractional coordinates:
Mg (0.0000, 0.0000, 0.0000) (multiplicity 1)  6 Mn 2.32
Mn (0.0000, 0.0000, 0.5000) (multiplicity 3)  2 Mg 2.32
P (0.5000, 0.5000, 0.5000) (multiplicity 1)  12 Mn 3.28

Results
V: 20.0 A^3/atom
crystal system: cubic
magnetic moment: 2.306 μB/atom
ΔH_f (0 K): 1.426 eV/atom